[1]
# PBE BeTc2Hg, relaxed
data_BeTc2Hg
_cell_length_a 2.9591
_cell_length_b 2.9591
_cell_length_c 6.7803
_cell_angle_alpha 90.00
_cell_angle_beta 90.00
_cell_angle_gamma 90.00
_symmetry_space_group_name_H-M 'P 4 m m'
_symmetry_Int_Tables_number 99
loop_
_symmetry_equiv_pos_as_xyz
'x,y,z'
'-y,x,z'
'-x,-y,z'
'y,-x,z'
'-x,y,z'
'y,x,z'
'x,-y,z'
'-y,-x,z'
loop_
_atom_site_label
_atom_site_fract_x
_atom_site_fract_y
_atom_site_fract_z
_atom_site_occupancy
Be1 0.0000 0.0000 0.0000 1
Tc1 0.0000 0.0000 0.5928 1
Tc2 0.5000 0.5000 0.8143 1
Hg1 0.5000 0.5000 0.2673 1
# polymorph energy (0 for the lowest one)	0	meV per atom
# energy of formation	0.5	eV/f.u.

[2]
# PBE Sn2GeRu, relaxed
data_Sn2GeRu
_cell_length_a 6.0788
_cell_length_b 6.0788
_cell_length_c 12.3755
_cell_angle_alpha 90.00
_cell_angle_beta 90.00
_cell_angle_gamma 90.00
_symmetry_space_group_name_H-M 'I -4 2 d'
_symmetry_Int_Tables_number 122
_symmetry_space_group_name_Hall 'I -4 2bw'
loop_
_atom_site_label
_atom_site_fract_x
_atom_site_fract_y
_atom_site_fract_z
_atom_site_occupancy
Sn1 0.2298 0.2500 0.1250 1
Ge1 0.0000 0.0000 0.5000 1
Ru1 0.0000 0.0000 0.0000 1
# energy of formation	2.0	eV/f.u.

[3]
# PBE KAg3B, relaxed
data_KAg3B
_cell_length_a 5.6606
_cell_length_b 5.6606
_cell_length_c 5.6606
_cell_angle_alpha 90.00
_cell_angle_beta 90.00
_cell_angle_gamma 90.00
_symmetry_space_group_name_H-M 'P m -3 m'
_symmetry_Int_Tables_number 221
_symmetry_space_group_name_Hall '-P 4 2 3'
loop_
_atom_site_label
_atom_site_fract_x
_atom_site_fract_y
_atom_site_fract_z
_atom_site_occupancy
K1 0.0000 0.0000 0.0000 1
Ag1 0.0000 0.0000 0.5000 1
B1 0.5000 0.5000 0.5000 1
# polymorph energy (0 for the lowest one)	1684	meV per atom
# energy of formation	10.2	eV/f.u.

[4]
# PBE KVHg, relaxed
data_KVHg
_cell_length_a 3.1099
_cell_length_b 6.2581
_cell_length_c 9.1052
_cell_angle_alpha 88.87
_cell_angle_beta 82.83
_cell_angle_gamma 84.67
_symmetry_space_group_name_H-M 'P 1'
_symmetry_Int_Tables_number 1
loop_
_symmetry_equiv_pos_as_xyz
'x,y,z'
loop_
_atom_site_label
_atom_site_fract_x
_atom_site_fract_y
_atom_site_fract_z
_atom_site_occupancy
K1 0.0000 0.0000 0.0000 1
K2 0.0957 0.5014 0.6649 1
V1 0.2229 0.9039 0.3680 1
V2 0.4514 0.1693 0.3438 1
Hg1 0.6249 0.0034 0.6377 1
Hg2 0.8680 0.5420 0.2578 1
# polymorph energy (0 for the lowest one)	100	meV per atom
# energy of formation	1.2	eV/f.u.

[5]
# PBE Ba3Cd2Pd4Pb2, relaxed
data_Ba3Cd2Pd4Pb2
_cell_length_a 4.8285
_cell_length_b 4.8285
_cell_length_c 16.1172
_cell_angle_alpha 90.00
_cell_angle_beta 90.00
_cell_angle_gamma 120.00
_symmetry_space_group_name_H-M 'P -3 m 1'
_symmetry_Int_Tables_number 164
_symmetry_space_group_name_Hall '-P 3 2"'
loop_
_atom_site_label
_atom_site_fract_x
_atom_site_fract_y
_atom_site_fract_z
_atom_site_occupancy
Ba1 0.0000 0.0000 0.0000 1
Ba2 0.0000 0.0000 0.2794 1
Cd1 0.3333 0.6667 0.1409 1
Pd1 0.3333 0.6667 0.3959 1
Pd2 0.3333 0.6667 0.8645 1
Pb1 0.3333 0.6667 0.5678 1
# energy of formation	-4.8	eV/f.u.

[6]
# PBE Tb8Pm3Th, relaxed
data_Tb8Pm3Th
_cell_length_a 6.4406
_cell_length_b 11.4435
_cell_length_c 11.5242
_cell_angle_alpha 90.00
_cell_angle_beta 90.00
_cell_angle_gamma 90.00
_symmetry_space_group_name_H-M 'I m m m'
_symmetry_Int_Tables_number 71
_symmetry_space_group_name_Hall '-I 2 2'
loop_
_atom_site_label
_atom_site_fract_x
_atom_site_fract_y
_atom_site_fract_z
_atom_site_occupancy
Tb1 0.0000 0.2485 0.1699 1
Tb2 0.2469 0.0000 0.2518 1
Pm1 0.0000 0.2600 0.5000 1
Pm2 0.0000 0.5000 0.0000 1
Th1 0.0000 0.0000 0.0000 1
# energy of formation	3.8	eV/f.u.